No. 1
The following is a GGA-PBE calculation of a geometry-optimized Nd2P7Ir12 structure, from Alexandria.

abc: 4.011 9.620 9.620
angles: 120.00 90.00 90.00
Fractional positions:
Ir: 0.236 0.738 0.844
Ir: 0.255 0.933 0.550
Ir: 0.764 0.894 0.738
Ir: 0.745 0.550 0.617
Ir: 0.255 0.617 0.067
Ir: 0.236 0.106 0.262
Ir: 0.764 0.844 0.106
Ir: 0.745 0.383 0.933
Ir: 0.255 0.450 0.383
Ir: 0.764 0.262 0.156
Ir: 0.745 0.067 0.450
Ir: 0.236 0.156 0.894
P: 0.753 0.284 0.406
P: 0.753 0.122 0.716
P: 0.500 0.000 0.000
P: 0.247 0.406 0.122
P: 0.753 0.594 0.878
P: 0.247 0.878 0.284
P: 0.247 0.716 0.594
Nd: 0.754 0.667 0.333
Nd: 0.246 0.333 0.667

Computed properties:
Crystal system: trigonal
ΔH_f (0 K): -637 meV per atom
Magnetization: 0.00 μB per atom
VASP energy: -7.96 eV/atom

***

No. 2
The following is a GGA-PBE calculation of a geometry-optimized Nd2P2Ir structure, from Alexandria.

abc: 4.094 5.844 10.004
angles: 77.63 78.19 69.49
Fractional positions:
P: 0.656 0.828 0.861
P: 0.954 0.677 0.416
P: 0.344 0.172 0.139
P: 0.046 0.323 0.584
Nd: 0.700 0.242 0.359
Nd: 0.909 0.286 0.896
Nd: 0.300 0.758 0.641
Nd: 0.091 0.714 0.104
Ir: 0.564 0.189 0.682
Ir: 0.436 0.811 0.318

Computed properties:
Crystal system: monoclinic
ΔH_f (0 K): -1168 meV per atom
Magnetization: 0.00 μB per atom
VASP energy: -7.01 eV/atom

***

No. 3
The following is a GGA-PBE calculation of a geometry-optimized NdPIr structure, from Alexandria.

abc: 4.117 4.117 7.691
angles: 105.50 105.50 90.03
Fractional positions:
Nd: 0.001 0.000 0.001
Nd: 0.750 0.251 0.501
Ir: 0.412 0.412 0.825
Ir: 0.162 0.662 0.325
P: 0.330 0.830 0.659
P: 0.580 0.580 0.159

Computed properties:
Crystal system: tetragonal
ΔH_f (0 K): -1140 meV per atom
Magnetization: 0.00 μB per atom
VASP energy: -7.49 eV/atom

***

What did the first record say?
The following is a GGA-PBE calculation of a geometry-optimized Nd2P7Ir12 structure, from Alexandria.

abc: 4.011 9.620 9.620
angles: 120.00 90.00 90.00
Fractional positions:
Ir: 0.236 0.738 0.844
Ir: 0.255 0.933 0.550
Ir: 0.764 0.894 0.738
Ir: 0.745 0.550 0.617
Ir: 0.255 0.617 0.067
Ir: 0.236 0.106 0.262
Ir: 0.764 0.844 0.106
Ir: 0.745 0.383 0.933
Ir: 0.255 0.450 0.383
Ir: 0.764 0.262 0.156
Ir: 0.745 0.067 0.450
Ir: 0.236 0.156 0.894
P: 0.753 0.284 0.406
P: 0.753 0.122 0.716
P: 0.500 0.000 0.000
P: 0.247 0.406 0.122
P: 0.753 0.594 0.878
P: 0.247 0.878 0.284
P: 0.247 0.716 0.594
Nd: 0.754 0.667 0.333
Nd: 0.246 0.333 0.667

Computed properties:
Crystal system: trigonal
ΔH_f (0 K): -637 meV per atom
Magnetization: 0.00 μB per atom
VASP energy: -7.96 eV/atom

***

- Which value of VASP energy does entry 3 give?
  -7.49 eV/atom

***

- The lowest VASP energy belongs to which entry?
  Nd2P7Ir12